Dy2GaHg: relaxed, GGA-PBE.

Cell: 3.6828 3.6828 26.9585 Å, 90.00 90.00 120.00°
Space group R-3m (No. 166, hexagonal axes)
Unique sites:
Dy (0.0000, 0.0000, 0.2457) (multiplicity 6)
Ga (0.0000, 0.0000, 0.5000) (multiplicity 3)
Hg (0.0000, 0.0000, 0.0000) (multiplicity 3)

The calculated formation energy is -0.3996 eV/atom. As for the crystal system: trigonal. As for the total energy: -3.533 eV per atom. The calculation puts the total magnetization at 0.0 μB per cell. For the density of states at the Fermi level, the calculation gives 8.7 states/eV/cell.



DyGa2Hg: relaxed, GGA-PBE.

Cell: 4.4447 4.4447 15.3061 Å, 90.00 90.00 120.00°
Space group R-3m (No. 166, hexagonal axes)
Unique sites:
Dy (0.0000, 0.0000, 0.0000) (multiplicity 3)
Ga (0.0000, 0.0000, 0.2308) (multiplicity 6)
Hg (0.0000, 0.0000, 0.5000) (multiplicity 3)

The calculated formation energy is -0.3115 eV/atom. As for the crystal system: trigonal. As for the total energy: -3.051 eV per atom. Its energy relative to the lowest polymorph listed for this composition is 116.9 meV per atom. The calculation puts the total magnetization at 0.0 μB per cell. For the density of states at the Fermi level, the calculation gives 4.3 states/eV/cell.